# 1
Computed, not measured: crystalline Cs2AlGeSe4 at its relaxed geometry at the PBE-GGA level of DFT.

Results
* E_form (uncorrected): -0.91 eV per atom

Geometry as CIF:
```
data_Cs2AlGeSe4
_chemical_formula_sum 'Cs16 Al8 Ge8 Se32'
_space_group_name_H-M_alt 'F d d d'
_space_group_IT_number 70
_cell_length_a 6.3355
_cell_length_b 14.7921
_cell_length_c 25.7045
_cell_angle_alpha 90.00
_cell_angle_beta 90.00
_cell_angle_gamma 90.00
loop_
_space_group_symop_operation_xyz
'x,y,z'
'-x,-y,-z'
'-x+1/4,-y+1/4,z'
'x+1/4,y+1/4,-z'
'x,-y+1/4,-z+1/4'
'-x,y+1/4,z+1/4'
'-x+1/4,y,-z+1/4'
'x+1/4,-y,z+1/4'
'x,y+1/2,z+1/2'
'-x,-y+1/2,-z+1/2'
'-x+1/4,-y+3/4,z+1/2'
'x+1/4,y+3/4,-z+1/2'
'x,-y+3/4,-z+3/4'
'-x,y+3/4,z+3/4'
'-x+1/4,y+1/2,-z+3/4'
'x+1/4,-y+1/2,z+3/4'
'x+1/2,y,z+1/2'
'-x+1/2,-y,-z+1/2'
'-x+3/4,-y+1/4,z+1/2'
'x+3/4,y+1/4,-z+1/2'
'x+1/2,-y+1/4,-z+3/4'
'-x+1/2,y+1/4,z+3/4'
'-x+3/4,y,-z+3/4'
'x+3/4,-y,z+3/4'
'x+1/2,y+1/2,z'
'-x+1/2,-y+1/2,-z'
'-x+3/4,-y+3/4,z'
'x+3/4,y+3/4,-z'
'x+1/2,-y+3/4,-z+1/4'
'-x+1/2,y+3/4,z+1/4'
'-x+3/4,y+1/2,-z+1/4'
'x+3/4,-y+1/2,z+1/4'
loop_
_atom_site_label
_atom_site_type_symbol
_atom_site_fract_x
_atom_site_fract_y
_atom_site_fract_z
Cs1 Cs 0.1250 0.1250 0.3042
Al1 Al 0.1250 0.1250 0.1250
Ge1 Ge 0.1250 0.1250 0.6250
Se1 Se 0.1085 0.2825 0.4270
```

# 2
Computed, not measured: crystalline Cs2AlGeTe4 at its relaxed geometry at the PBE-GGA level of DFT.

Results
* E_form (uncorrected): -0.65 eV per atom

Geometry as CIF:
```
data_Cs2AlGeTe4
_chemical_formula_sum 'Cs16 Al8 Ge8 Te32'
_space_group_name_H-M_alt 'F d d d'
_space_group_IT_number 70
_cell_length_a 6.7881
_cell_length_b 15.5631
_cell_length_c 26.9379
_cell_angle_alpha 90.00
_cell_angle_beta 90.00
_cell_angle_gamma 90.00
loop_
_space_group_symop_operation_xyz
'x,y,z'
'-x,-y,-z'
'-x+1/4,-y+1/4,z'
'x+1/4,y+1/4,-z'
'x,-y+1/4,-z+1/4'
'-x,y+1/4,z+1/4'
'-x+1/4,y,-z+1/4'
'x+1/4,-y,z+1/4'
'x,y+1/2,z+1/2'
'-x,-y+1/2,-z+1/2'
'-x+1/4,-y+3/4,z+1/2'
'x+1/4,y+3/4,-z+1/2'
'x,-y+3/4,-z+3/4'
'-x,y+3/4,z+3/4'
'-x+1/4,y+1/2,-z+3/4'
'x+1/4,-y+1/2,z+3/4'
'x+1/2,y,z+1/2'
'-x+1/2,-y,-z+1/2'
'-x+3/4,-y+1/4,z+1/2'
'x+3/4,y+1/4,-z+1/2'
'x+1/2,-y+1/4,-z+3/4'
'-x+1/2,y+1/4,z+3/4'
'-x+3/4,y,-z+3/4'
'x+3/4,-y,z+3/4'
'x+1/2,y+1/2,z'
'-x+1/2,-y+1/2,-z'
'-x+3/4,-y+3/4,z'
'x+3/4,y+3/4,-z'
'x+1/2,-y+3/4,-z+1/4'
'-x+1/2,y+3/4,z+1/4'
'-x+3/4,y+1/2,-z+1/4'
'x+3/4,-y+1/2,z+1/4'
loop_
_atom_site_label
_atom_site_type_symbol
_atom_site_fract_x
_atom_site_fract_y
_atom_site_fract_z
Cs1 Cs 0.1250 0.1250 0.3074
Al1 Al 0.1250 0.1250 0.1250
Ge1 Ge 0.1250 0.1250 0.6250
Te1 Te 0.1133 0.2798 0.4303
```

Listing mass density for the structures above in their given order: 3.76 4.09 Mg/m³.